No. 1
This record from the Alexandria database describes a relaxed structure of CeSnSeS2. The functional is PBE-GGA.

Values from the calculation:
As for the crystal system: monoclinic. The total energy comes out at -5.502 eV per atom. The volume is 149.3 Å³/f.u. As for the uncorrected formation energy: -1167.3 meV per atom.

Lattice parameters (Å, degrees): 4.2532 7.5157 10.5015 117.18 90.00 90.00
Site moments in Bohr magnetons follow the coordinates.
Element x y z (fractional)
Ce (0.2500, 0.2854, 0.0519)  0.24
Ce (0.7500, 0.7146, 0.9481)  0.24
Sn (0.2500, 0.3044, 0.5602)  0.00
Sn (0.7500, 0.6956, 0.4398)  0.00
Se (0.2500, 0.9591, 0.1275)  -0.03
Se (0.7500, 0.0409, 0.8725)  -0.03
S (0.7500, 0.5438, 0.6403)  -0.01
S (0.2500, 0.4562, 0.3597)  -0.01
S (0.7500, 0.5572, 0.1451)  -0.02
S (0.2500, 0.4428, 0.8549)  -0.02


No. 2
This record from the Alexandria database describes a relaxed structure of TbCe2Se2S2. The functional is PBE-GGA.

Values from the calculation:
As for the crystal system: tetragonal. The total energy comes out at -6.173 eV per atom. The volume is 197.1 Å³/f.u. As for the uncorrected formation energy: -1641.2 meV per atom.

Lattice parameters (Å, degrees): 5.1322 5.1322 8.3180 107.97 107.97 90.00
Site moments in Bohr magnetons follow the coordinates.
Element x y z (fractional)
Tb (0.0000, 0.0000, 0.0000)  0.03
Ce (0.3779, 0.3779, 0.7559)  1.20
Ce (0.6221, 0.6221, 0.2441)  1.20
Se (0.1868, 0.1868, 0.3737)  -0.02
Se (0.8132, 0.8132, 0.6263)  -0.02
S (0.0000, 0.5000, 0.0000)  -0.02
S (0.5000, 0.0000, 0.0000)  -0.02


No. 3
This record from the Alexandria database describes a relaxed structure of TbCeSeS. The functional is PBE-GGA.

Values from the calculation:
As for the crystal system: trigonal. The total energy comes out at -6.467 eV per atom. The volume is 95.0 Å³/f.u. As for the uncorrected formation energy: -1923.2 meV per atom.

Lattice parameters (Å, degrees): 4.0361 4.0361 7.1266 73.55 73.55 60.00
Site moments in Bohr magnetons follow the coordinates.
Element x y z (fractional)
Tb (0.5066, 0.5066, 0.4802)  0.00
Ce (0.9939, 0.9939, 0.0182)  0.78
Se (0.7531, 0.7531, 0.7407)  -0.01
S (0.2464, 0.2464, 0.2609)  -0.01


No. 4
This record from the Alexandria database describes a relaxed structure of TbCeSe2S. The functional is PBE-GGA.

Values from the calculation:
As for the crystal system: orthorhombic. The total energy comes out at -6.272 eV per atom. The volume is 129.9 Å³/f.u. As for the uncorrected formation energy: -1939.4 meV per atom.

Lattice parameters (Å, degrees): 4.0625 6.9381 9.6431 90.00 90.00 107.02
Site moments in Bohr magnetons follow the coordinates.
Element x y z (fractional)
Tb (0.0000, 0.0000, 0.5000)  0.02
Tb (0.0000, 0.0000, 0.0000)  0.02
Ce (0.2618, 0.5236, 0.7500)  0.88
Ce (0.7382, 0.4764, 0.2500)  0.88
Se (0.6459, 0.2917, 0.5654)  -0.01
Se (0.3541, 0.7083, 0.4346)  -0.01
Se (0.3541, 0.7083, 0.0654)  -0.01
Se (0.6459, 0.2917, 0.9346)  -0.01
S (0.9080, 0.8161, 0.7500)  -0.01
S (0.0920, 0.1839, 0.2500)  -0.01


No. 5
This record from the Alexandria database describes a relaxed structure of Ce6Te3Se2S. The functional is PBE-GGA.

Values from the calculation:
As for the crystal system: monoclinic. The total energy comes out at -6.293 eV per atom. The volume is 340.2 Å³/f.u. As for the uncorrected formation energy: -1615.9 meV per atom.

Lattice parameters (Å, degrees): 7.4128 7.4128 7.5645 99.40 99.40 120.01
Site moments in Bohr magnetons follow the coordinates.
Element x y z (fractional)
Ce (0.9278, 0.6047, 0.7823)  0.86
Ce (0.7515, 0.7515, 0.2219)  0.87
Ce (0.0722, 0.3953, 0.2177)  0.86
Ce (0.6047, 0.9278, 0.7823)  0.86
Ce (0.2485, 0.2485, 0.7781)  0.87
Ce (0.3953, 0.0722, 0.2177)  0.86
Te (0.1711, 0.8289, 0.5000)  -0.02
Te (0.8289, 0.1711, 0.5000)  -0.02
Te (0.5000, 0.5000, 0.5000)  -0.02
Se (0.3343, 0.6657, 0.0000)  -0.02
Se (0.6657, 0.3343, 0.0000)  -0.02
S (0.0000, 0.0000, 0.0000)  -0.03


No. 6
This record from the Alexandria database describes a relaxed structure of Ce4TeSeS2. The functional is PBE-GGA.

Values from the calculation:
As for the crystal system: orthorhombic. The total energy comes out at -6.617 eV per atom. The volume is 207.2 Å³/f.u. As for the uncorrected formation energy: -1789.5 meV per atom.

Lattice parameters (Å, degrees): 8.3692 8.3702 8.4182 120.19 120.20 90.01
Site moments in Bohr magnetons follow the coordinates.
Element x y z (fractional)
Ce (0.2738, 0.7475, 0.0107)  0.77
Ce (0.7524, 0.2260, 0.4892)  0.77
Ce (0.2477, 0.7739, 0.5108)  0.77
Ce (0.7261, 0.2526, 0.9894)  0.77
Ce (0.7447, 0.7553, 0.0261)  0.72
Ce (0.7446, 0.7553, 0.4738)  0.72
Ce (0.2553, 0.2446, 0.5260)  0.72
Ce (0.2554, 0.2447, 0.9739)  0.72
Te (0.5001, 0.5000, 0.5000)  -0.02
Te (0.9999, 0.0000, 0.0000)  -0.02
Se (0.0000, 0.5000, 0.0000)  -0.02
Se (0.0000, 0.5000, 0.5001)  -0.02
S (0.5000, 0.0000, 0.0000)  -0.03
S (0.5000, 0.0000, 0.5001)  -0.03
S (0.0001, 0.0000, 0.5000)  -0.03
S (0.4999, 0.5000, 0.0000)  -0.03


No. 7
This record from the Alexandria database describes a relaxed structure of Ce8Te4Se3S. The functional is PBE-GGA.

Values from the calculation:
As for the crystal system: trigonal. The total energy comes out at -6.270 eV per atom. The volume is 456.3 Å³/f.u. As for the uncorrected formation energy: -1606.8 meV per atom.

Lattice parameters (Å, degrees): 8.5795 8.7051 8.5794 119.52 120.00 90.00
Site moments in Bohr magnetons follow the coordinates.
Element x y z (fractional)
Ce (0.2347, 0.7188, 0.9840)  0.87
Ce (0.2347, 0.7188, 0.4695)  0.87
Ce (0.2584, 0.2753, 0.5168)  0.85
Ce (0.7493, 0.7188, 0.9840)  0.87
Ce (0.2507, 0.2812, 0.0160)  0.87
Ce (0.7416, 0.7247, 0.4832)  0.85
Ce (0.7653, 0.2812, 0.5305)  0.87
Ce (0.7653, 0.2812, 0.0160)  0.87
Te (0.5000, 0.0000, 0.0000)  -0.02
Te (0.5000, 0.0000, 0.5000)  -0.02
Te (0.0000, 0.0000, 0.0000)  -0.02
Te (0.0000, 0.0000, 0.5000)  -0.02
Se (0.5000, 0.5000, 0.0000)  -0.02
Se (0.5000, 0.5000, 0.5000)  -0.02
Se (0.0000, 0.5000, 0.5000)  -0.02
S (0.0000, 0.5000, 0.0000)  -0.03


No. 8
This record from the Alexandria database describes a relaxed structure of Ce2ThSe2S2. The functional is PBE-GGA.

Values from the calculation:
As for the crystal system: tetragonal. The total energy comes out at -6.419 eV per atom. The volume is 211.8 Å³/f.u. As for the uncorrected formation energy: -1488.6 meV per atom.

Lattice parameters (Å, degrees): 5.3313 5.3313 8.3524 108.61 108.61 90.00
Site moments in Bohr magnetons follow the coordinates.
Element x y z (fractional)
Ce (0.3835, 0.3835, 0.7669)  1.32
Ce (0.6165, 0.6165, 0.2331)  1.32
Th (0.0000, 0.0000, 0.0000)  0.15
Se (0.1910, 0.1910, 0.3820)  -0.02
Se (0.8090, 0.8090, 0.6180)  -0.02
S (0.0000, 0.5000, 0.0000)  -0.02
S (0.5000, 0.0000, 0.0000)  -0.02


No. 9
This record from the Alexandria database describes a relaxed structure of Ce2USe3S3. The functional is PBE-GGA.

Values from the calculation:
As for the crystal system: hexagonal. The total energy comes out at -6.706 eV per atom. The volume is 198.9 Å³/f.u. As for the uncorrected formation energy: -1595.5 meV per atom.

Lattice parameters (Å, degrees): 4.0938 7.4900 7.4900 120.00 90.00 90.00
Site moments in Bohr magnetons follow the coordinates.
Element x y z (fractional)
Ce (0.5000, 0.6667, 0.3333)  0.48
Ce (0.5000, 0.3333, 0.6667)  0.48
U (0.0000, 0.0000, 0.0000)  1.48
Se (0.0000, 0.5957, 0.5957)  -0.06
Se (0.0000, 0.0000, 0.4043)  -0.06
Se (0.0000, 0.4043, 0.0000)  -0.06
S (0.5000, 0.7504, 0.0000)  -0.07
S (0.5000, 0.0000, 0.7504)  -0.07
S (0.5000, 0.2496, 0.2496)  -0.07


No. 10
This record from the Alexandria database describes a relaxed structure of CeYSeS2. The functional is PBE-GGA.

Values from the calculation:
As for the crystal system: orthorhombic. The total energy comes out at -6.403 eV per atom. The volume is 131.3 Å³/f.u. As for the uncorrected formation energy: -1575.6 meV per atom.

Lattice parameters (Å, degrees): 6.2212 6.2317 7.4577 114.70 90.00 90.00
Site moments in Bohr magnetons follow the coordinates.
Element x y z (fractional)
Ce (0.2500, 0.6202, 0.2405)  0.86
Ce (0.7500, 0.3798, 0.7595)  0.86
Y (0.2500, 0.8917, 0.7833)  0.06
Y (0.7500, 0.1083, 0.2167)  0.06
Se (0.7500, 0.7496, 0.4991)  -0.02
Se (0.2500, 0.2504, 0.5009)  -0.02
S (0.5000, 0.2510, 0.0000)  -0.02
S (0.0000, 0.7490, 0.0000)  -0.02
S (0.5000, 0.7490, 0.0000)  -0.02
S (0.0000, 0.2510, 0.0000)  -0.02


No. 11
This record from the Alexandria database describes a relaxed structure of CeYSeS. The functional is PBE-GGA.

Values from the calculation:
As for the crystal system: trigonal. The total energy comes out at -6.922 eV per atom. The volume is 94.7 Å³/f.u. As for the uncorrected formation energy: -1919.3 meV per atom.

Lattice parameters (Å, degrees): 4.0294 4.0294 7.1275 73.58 73.58 60.00
Site moments in Bohr magnetons follow the coordinates.
Element x y z (fractional)
Ce (0.2561, 0.2561, 0.2318)  0.79
Y (0.7434, 0.7434, 0.7699)  0.00
Se (0.4966, 0.4966, 0.5101)  -0.01
S (0.0039, 0.0039, 0.9882)  -0.01


No. 12
This record from the Alexandria database describes a relaxed structure of Ce2SiS4. The functional is PBE-GGA.

Values from the calculation:
As for the crystal system: tetragonal. The total energy comes out at -6.162 eV per atom. The volume is 151.3 Å³/f.u. As for the uncorrected formation energy: -1333.7 meV per atom.

Lattice parameters (Å, degrees): 6.3754 6.3754 5.8458 123.04 123.04 90.00
Site moments in Bohr magnetons follow the coordinates.
Element x y z (fractional)
Ce (0.7500, 0.2500, 0.5000)  0.60
Ce (0.2500, 0.7500, 0.5000)  0.60
Si (0.5000, 0.5000, 0.0000)  -0.01
S (0.7519, 0.2481, 0.0000)  -0.01
S (0.2481, 0.7519, 0.0000)  -0.01
S (0.7519, 0.7519, 0.0000)  -0.01
S (0.2481, 0.2481, 0.0000)  -0.01